1.
A plane-wave DFT calculation with PBE was carried out for a relaxed structure of NiRuRh3.

Structure (CIF):
```
data_NiRuRh3
_chemical_formula_sum 'Ni2 Ru2 Rh6'
_symmetry_space_group_name_H-M 'P 1 21/m 1'
_symmetry_Int_Tables_number 11
_symmetry_space_group_name_Hall '-P 2yb'
_cell_length_a 2.674
_cell_length_b 8.607
_cell_length_c 6.795
_cell_angle_alpha 90.00
_cell_angle_beta 101.35
_cell_angle_gamma 90.00
loop_
_atom_site_label
_atom_site_type_symbol
_atom_site_fract_x
_atom_site_fract_y
_atom_site_fract_z
_atom_site_occupancy
Ni1 Ni 0.058 0.250 0.113 1
Ru1 Ru 0.278 0.750 0.556 1
Rh1 Rh 0.162 0.001 0.325 1
Rh2 Rh 0.403 0.250 0.805 1
```

ΔH_f (0 K) in meV per atom: 379

***

2.
A plane-wave DFT calculation with PBE was carried out for a relaxed structure of Hg2WBr.

Structure (CIF):
```
data_Hg2WBr
_chemical_formula_sum 'Hg4 W2 Br2'
_symmetry_space_group_name_H-M 'C m m m'
_symmetry_Int_Tables_number 65
_symmetry_space_group_name_Hall '-C 2 2'
_cell_length_a 3.249
_cell_length_b 5.683
_cell_length_c 9.456
_cell_angle_alpha 90.00
_cell_angle_beta 90.00
_cell_angle_gamma 90.00
loop_
_atom_site_label
_atom_site_type_symbol
_atom_site_fract_x
_atom_site_fract_y
_atom_site_fract_z
_atom_site_occupancy
Hg1 Hg 0.000 0.000 0.242 1
W1 W 0.000 0.500 0.000 1
Br1 Br 0.000 0.500 0.500 1
```

Total DFT energy (no corrections) in eV/cell: -24.439

***

3.
A plane-wave DFT calculation with PBE was carried out for a relaxed structure of InNiRh3.

Structure (CIF):
```
data_InNiRh3
_chemical_formula_sum 'In1 Ni1 Rh3'
_symmetry_space_group_name_H-M 'P m -3 m'
_symmetry_Int_Tables_number 221
_symmetry_space_group_name_Hall '-P 4 2 3'
_cell_length_a 4.845
_cell_length_b 4.845
_cell_length_c 4.845
_cell_angle_alpha 90.00
_cell_angle_beta 90.00
_cell_angle_gamma 90.00
loop_
_atom_site_label
_atom_site_type_symbol
_atom_site_fract_x
_atom_site_fract_y
_atom_site_fract_z
_atom_site_occupancy
In1 In 0.000 0.000 0.000 1
Ni1 Ni 0.500 0.500 0.500 1
Rh1 Rh 0.000 0.000 0.500 1
```

ΔH_f (0 K) in meV per atom: 1693